1.
Material: Pr4CdSn3
Method: DFT, PBE
State: relaxed

Summary:
SG: Pmm2, No. 25
Formation energy in eV/atom: -0.6490
Energy in eV/f.u.: -37.2
Size of the total moment in μB/atom: 0.06

Cell and atoms, written as POSCAR:
```
Pr4CdSn3
1.0
4.4937 0.0000 0.0000
0.0000 4.6388 0.0000
0.0000 0.0000 11.9272
Pr Cd Sn
4 1 3
direct
0.0000 0.0000 0.0000
0.0000 0.5000 0.4980
0.5000 0.0000 0.2744
0.5000 0.5000 0.7757
0.5000 0.0000 0.5569
0.0000 0.0000 0.7204
0.0000 0.5000 0.2237
0.5000 0.5000 0.0485
```

2.
Material: PmScSnGe
Method: DFT, PBE
State: relaxed

Summary:
SG: F-43m, No. 216
Formation energy in eV/atom: -0.4840
Energy in eV/f.u.: -21.6
Size of the total moment in μB/atom: 0.00

Cell and atoms, written as POSCAR:
```
PmScSnGe
1.0
0.0000 3.6486 3.6486
3.6486 0.0000 3.6486
3.6486 3.6486 0.0000
Pm Sc Sn Ge
1 1 1 1
direct
0.0000 0.0000 0.0000
0.5000 0.5000 0.5000
0.7500 0.7500 0.7500
0.2500 0.2500 0.2500
```

3.
Material: Ho3Ga3Co2
Method: DFT, PBE
State: relaxed

Summary:
SG: Cmcm, No. 63
Formation energy in eV/atom: -0.5181
Energy in eV/f.u.: -41.2
Size of the total moment in μB/atom: 0.00

Cell and atoms, written as POSCAR:
```
Ho3Ga3Co2
1.0
2.0917 -5.2268 0.0000
2.0917 5.2268 0.0000
0.0000 0.0000 14.0840
Ho Ga Co
6 6 4
direct
0.0857 0.9143 0.6078
0.0857 0.9143 0.8922
0.3658 0.6342 0.7500
0.6342 0.3658 0.2500
0.9143 0.0857 0.1078
0.9143 0.0857 0.3922
0.3320 0.6680 0.2500
0.3762 0.6238 0.5405
0.3762 0.6238 0.9595
0.6238 0.3762 0.0405
0.6238 0.3762 0.4595
0.6680 0.3320 0.7500
0.2146 0.7854 0.0907
0.2146 0.7854 0.4093
0.7854 0.2146 0.5907
0.7854 0.2146 0.9093
```

4.
Material: AcTb2Ag
Method: DFT, PBE
State: relaxed

Summary:
SG: R-3m, No. 166
Polymorph energy (0 for the lowest one) in kJ/mol of atoms: 12.0
Formation energy in eV/atom: 0.0216
Energy in eV/f.u.: -16.1
Size of the total moment in μB/atom: 0.00

Cell and atoms, written as POSCAR:
```
AcTb2Ag
1.0
1.8768 1.0836 10.5495
-1.8768 1.0836 10.5495
0.0000 -2.1671 10.5495
Ac Tb Ag
1 2 1
direct
0.0000 0.0000 0.0000
0.2363 0.2363 0.2363
0.7637 0.7637 0.7637
0.5000 0.5000 0.5000
```

5.
Material: YHfSc2S
Method: DFT, PBE
State: relaxed

Summary:
SG: P4/mmm, No. 123
Energy in eV/f.u.: -28.8
Size of the total moment in μB/atom: 0.00

Cell and atoms, written as POSCAR:
```
YHfSc2S
1.0
5.2935 0.0000 0.0000
0.0000 5.2935 0.0000
0.0000 0.0000 4.9458
Y Hf Sc S
1 1 2 1
direct
0.0000 0.0000 0.0000
0.5000 0.5000 0.5000
0.0000 0.5000 0.0000
0.5000 0.0000 0.0000
0.0000 0.0000 0.5000
```

6.
Material: SrGdSnHg
Method: DFT, PBE
State: relaxed

Summary:
SG: F-43m, No. 216
Formation energy in eV/atom: -0.5567
Energy in eV/f.u.: -22.3
Size of the total moment in μB/atom: 1.82

Cell and atoms, written as POSCAR:
```
SrGdSnHg
1.0
0.0000 3.9016 3.9016
3.9016 0.0000 3.9016
3.9016 3.9016 0.0000
Sr Gd Sn Hg
1 1 1 1
direct
0.0000 0.0000 0.0000
0.5000 0.5000 0.5000
0.7500 0.7500 0.7500
0.2500 0.2500 0.2500
```

7.
Material: Cs2NbCl6O
Method: DFT, PBE
State: relaxed

Summary:
SG: I4/mmm, No. 139
Energy in eV/f.u.: -39.9
Size of the total moment in μB/atom: 0.23

Cell and atoms, written as POSCAR:
```
Cs2NbCl6O
1.0
-3.7606 3.7606 5.6723
3.7606 -3.7606 5.6723
3.7606 3.7606 -5.6723
Cs Nb Cl O
2 1 6 1
direct
0.2500 0.7500 0.5000
0.7500 0.2500 0.5000
0.0000 0.0000 0.0000
0.2143 0.2143 0.0000
0.2274 0.2274 0.4549
0.2274 0.7726 0.0000
0.7726 0.2274 0.0000
0.7726 0.7726 0.5451
0.7857 0.7857 0.0000
0.5000 0.5000 0.0000
```

8.
Material: La8Rh3SeI4
Method: DFT, PBE
State: relaxed

Summary:
SG: R-3m, No. 166
Energy in eV/f.u.: -89.2
Size of the total moment in μB/atom: 0.00

Cell and atoms, written as POSCAR:
```
La8Rh3SeI4
1.0
4.3121 2.4896 8.1299
-4.3121 2.4896 8.1299
0.0000 -4.9791 8.1299
La Rh Se I
8 3 1 4
direct
0.2134 0.7391 0.7391
0.2289 0.2289 0.2289
0.2609 0.2609 0.7866
0.2609 0.7866 0.2609
0.7391 0.2134 0.7391
0.7391 0.7391 0.2134
0.7711 0.7711 0.7711
0.7866 0.2609 0.2609
0.0000 0.0000 0.5000
0.0000 0.5000 0.0000
0.5000 0.0000 0.0000
0.5000 0.5000 0.5000
0.0000 0.0000 0.0000
0.0000 0.5000 0.5000
0.5000 0.0000 0.5000
0.5000 0.5000 0.0000
```